NiAs2Br | Alexandria | GGA-PBE | relaxed; uncorrected formation energy = 1.89 eV per formula unit; energy relative to the lowest polymorph listed for this composition = 2.60 eV per formula unit
1.0
-3.629 2.399 -6.467
-3.386 -2.669 -6.493
1.279 0.022 7.688
Ni As Br
1 2 1
Cartesian
-2.928 1.143 -2.629 Ni
-3.507 -0.135 -6.480 As
0.000 0.000 0.000 As
-2.807 -1.391 -2.642 Br